# 1
# MgTl2PS4

A geometry-optimized MgTl2PS4 structure (GGA-PBE, the Alexandria database).

Calculated total energy   -4.023 eV/atom
DOS(E_F)   2.3 states/eV/cell

extended XYZ file:
```
16
Lattice="7.169 0.000 0.000 0.000 9.899 0.000 0.000 0.000 5.824" Properties=species:S:1:pos:R:3 pbc="T T T"
Mg 0.000 0.942 0.000
Mg 3.585 8.957 2.912
Tl 1.756 3.894 3.316
Tl 1.829 6.005 0.404
Tl 5.340 6.005 0.404
Tl 5.413 3.894 3.316
P 0.000 8.511 2.738
P 3.585 1.388 5.650
S 0.000 0.578 3.296
S 0.000 8.486 0.673
S 1.667 7.395 3.349
S 1.917 2.504 0.437
S 3.585 1.413 3.585
S 3.585 9.320 0.384
S 5.252 2.504 0.437
S 5.502 7.395 3.349
```

=====

# 2
# MgTlPS4

A geometry-optimized MgTlPS4 structure (GGA-PBE, the Alexandria database).

Calculated total energy   -4.320 eV/atom
DOS(E_F)   0.0 states/eV/cell

extended XYZ file:
```
14
Lattice="6.156 0.000 0.000 0.000 6.645 0.000 -2.579 0.000 8.175" Properties=species:S:1:pos:R:3 pbc="T T T"
Mg 1.305 1.661 0.422
Mg 2.272 4.983 7.753
Tl -0.004 1.661 4.622
Tl 3.581 4.983 3.553
P -0.802 4.983 6.827
P 4.379 1.661 1.348
S -0.509 0.049 1.648
S -0.509 3.273 1.648
S 0.778 4.983 5.539
S 2.495 4.983 0.559
S 1.082 1.661 7.616
S 2.799 1.661 2.636
S 4.086 3.371 6.527
S 4.086 6.596 6.527
```

=====

# 3
# MgTlP2S

A geometry-optimized MgTlP2S structure (GGA-PBE, the Alexandria database).

Calculated total energy   -3.249 eV/atom
Relative energy among the computed polymorphs   0.0 kJ/mol of formula units
DOS(E_F)   5.3 states/eV/cell

extended XYZ file:
```
5
Lattice="4.951 0.000 0.000 0.000 4.951 0.000 0.000 0.000 4.912" Properties=species:S:1:pos:R:3 pbc="T T T"
Mg 0.000 0.000 0.000
Tl 2.476 2.476 2.456
P 0.000 2.476 0.000
P 2.476 0.000 0.000
S 0.000 0.000 2.456
```

=====

# 4
# MgVPS2

A geometry-optimized MgVPS2 structure (GGA-PBE, the Alexandria database).

Calculated total energy   -4.055 eV/atom
Relative energy among the computed polymorphs   477.7 kJ/mol of formula units
DOS(E_F)   9.9 states/eV/cell

extended XYZ file:
```
5
Lattice="4.665 0.000 0.000 0.000 4.665 0.000 0.000 0.000 4.722" Properties=species:S:1:pos:R:3 pbc="T T T"
Mg 0.000 0.000 0.000
V 2.333 2.333 2.361
P 0.000 0.000 2.361
S 0.000 2.333 0.000
S 2.333 0.000 0.000
```

=====

# 5
# MgVPS2

A geometry-optimized MgVPS2 structure (GGA-PBE, the Alexandria database).

Calculated total energy   -5.045 eV/atom
Relative energy among the computed polymorphs   0.0 kJ/mol of formula units
DOS(E_F)   3.6 states/eV/cell

extended XYZ file:
```
5
Lattice="4.521 0.000 0.000 0.000 4.521 0.000 0.000 0.000 4.753" Properties=species:S:1:pos:R:3 pbc="T T T"
Mg 0.000 0.000 0.000
V 2.260 2.260 2.376
P 2.260 2.260 0.000
S 0.000 2.260 2.376
S 2.260 0.000 2.376
```

=====

# 6
# MgP2WS

A geometry-optimized MgP2WS structure (GGA-PBE, the Alexandria database).

Calculated total energy   -5.659 eV/atom
Relative energy among the computed polymorphs   0.0 kJ/mol of formula units
DOS(E_F)   4.7 states/eV/cell

extended XYZ file:
```
5
Lattice="4.770 0.000 0.000 0.000 4.770 0.000 0.000 0.000 4.656" Properties=species:S:1:pos:R:3 pbc="T T T"
Mg 0.000 0.000 0.000
P 0.000 2.385 2.328
P 2.385 0.000 2.328
W 2.385 2.385 2.328
S 2.385 2.385 0.000
```

=====

# 7
# MgP2WS

A geometry-optimized MgP2WS structure (GGA-PBE, the Alexandria database).

Calculated total energy   -4.357 eV/atom
Relative energy among the computed polymorphs   628.4 kJ/mol of formula units
DOS(E_F)   7.7 states/eV/cell

extended XYZ file:
```
5
Lattice="4.611 0.000 0.000 0.000 4.611 0.000 0.000 0.000 4.507" Properties=species:S:1:pos:R:3 pbc="T T T"
Mg 0.000 0.000 0.000
P 0.000 2.306 0.000
P 2.306 0.000 0.000
W 2.306 2.306 2.254
S 0.000 0.000 2.254
```

=====

# 8
# YMgP2S

A geometry-optimized YMgP2S structure (GGA-PBE, the Alexandria database).

Calculated total energy   -4.432 eV/atom
Relative energy among the computed polymorphs   149.1 kJ/mol of formula units
DOS(E_F)   5.8 states/eV/cell

extended XYZ file:
```
5
Lattice="5.250 0.000 0.000 0.000 5.250 0.000 0.000 0.000 5.160" Properties=species:S:1:pos:R:3 pbc="T T T"
Y 0.000 0.000 0.000
Mg 2.625 2.625 2.580
P 0.000 2.625 0.000
P 2.625 0.000 0.000
S 0.000 0.000 2.580
```